--- P ---
Crystalline AlCoPt3 at its relaxed geometry, computed with PBE.

Cell lengths 4.550, 4.550, 4.550 Å; angles 90.00, 90.00, 90.00 degrees
Space group Pm-3m (No. 221)
Unique sites:
1 Al 0.000 0.000 0.000 [1 per cell]
2 Co 0.500 0.500 0.500 [1 per cell]
3 Pt 0.000 0.500 0.500 [3 per cell]

Properties
* theoretical density: 11.83 g/cm³

---

--- Q ---
Crystalline AlCoPt3 at its relaxed geometry, computed with PBE.

Cell lengths 4.520, 4.520, 4.520 Å; angles 90.00, 90.00, 90.00 degrees
Space group Pm-3m (No. 221)
Unique sites:
1 Al 0.000 0.000 0.000 [1 per cell]
2 Co 0.500 0.500 0.500 [1 per cell]
3 Pt 0.000 0.000 0.500 [3 per cell]

Properties
* theoretical density: 12.07 g/cm³

---

Ranked by calculated energy, most stable first: Q, P.

---

--- P ---
Crystalline Al2Co2Pt at its relaxed geometry, computed with PBE.

Cell lengths 6.855, 6.855, 2.748 Å; angles 90.00, 90.00, 90.00 degrees
Space group P4/mbm (No. 127)
Unique sites:
1 Al 0.177 0.323 0.000 [4 per cell]
2 Co 0.119 0.619 0.500 [4 per cell]
3 Pt 0.000 0.000 0.500 [2 per cell]

Properties
* theoretical density: 9.44 g/cm³

---

--- Q ---
Crystalline Al2Co2Pt at its relaxed geometry, computed with PBE.

Cell lengths 6.786, 6.786, 2.778 Å; angles 90.00, 90.00, 90.00 degrees
Space group P4/mbm (No. 127)
Unique sites:
1 Al 0.142 0.358 0.000 [4 per cell]
2 Co 0.154 0.654 0.500 [4 per cell]
3 Pt 0.000 0.000 0.000 [2 per cell]

Properties
* theoretical density: 9.53 g/cm³

---

Ranked by calculated energy, most stable first: P, Q.

---

--- P ---
Crystalline AlCoPt at its relaxed geometry, computed with PBE.

Cell lengths 2.875, 2.875, 9.623 Å; angles 90.00, 90.00, 90.00 degrees
Space group I4mm (No. 107)
Unique sites:
1 Al 0.000 0.000 0.000 [2 per cell]
2 Co 0.000 0.000 0.357 [2 per cell]
3 Pt 0.000 0.000 0.670 [2 per cell]

Properties
* theoretical density: 11.73 g/cm³

---

--- Q ---
Crystalline AlCoPt at its relaxed geometry, computed with PBE.

Cell lengths 4.1490, 4.1490, 2.7419 Å; angles 90.00, 90.00, 120.00 degrees
Space group P3m1 (No. 156)
Unique sites:
1 Al 0.0000 0.0000 0.0000 [1 per cell]
2 Co 0.6667 0.3333 0.2240 [1 per cell]
3 Pt 0.3333 0.6667 0.6661 [1 per cell]

Properties
* theoretical density: 11.42 g/cm³

---

--- R ---
Crystalline AlCoPt at its relaxed geometry, computed with PBE.

Cell lengths 5.666, 5.666, 5.666 Å; angles 90.00, 90.00, 90.00 degrees
Space group F-43m (No. 216)
Unique sites:
1 Al 0.000 0.000 0.000 [4 per cell]
2 Co 0.250 0.250 0.250 [4 per cell]
3 Pt 0.250 0.250 0.750 [4 per cell]

Properties
* theoretical density: 10.26 g/cm³

---

Ranked by calculated energy, most stable first: P, Q, R.

---

--- P ---
Crystalline RbAl3Co at its relaxed geometry, computed with PBE.

Cell lengths 5.764, 5.764, 5.764 Å; angles 90.00, 90.00, 90.00 degrees
Space group Pm-3m (No. 221)
Unique sites:
1 Rb 0.000 0.000 0.000 [1 per cell]
2 Al 0.000 0.000 0.500 [3 per cell]
3 Co 0.500 0.500 0.500 [1 per cell]

Properties
* theoretical density: 1.95 g/cm³

---

--- Q ---
Crystalline RbAl3Co at its relaxed geometry, computed with PBE.

Cell lengths 4.709, 4.709, 4.709 Å; angles 90.00, 90.00, 90.00 degrees
Space group Pm-3m (No. 221)
Unique sites:
1 Rb 0.000 0.000 0.000 [1 per cell]
2 Al 0.000 0.500 0.500 [3 per cell]
3 Co 0.500 0.500 0.500 [1 per cell]

Properties
* theoretical density: 3.58 g/cm³

---

Ranked by calculated energy, most stable first: Q, P.

---

--- P ---
Crystalline AlCoRh3 at its relaxed geometry, computed with PBE.

Cell lengths 4.406, 4.406, 4.406 Å; angles 90.00, 90.00, 90.00 degrees
Space group Pm-3m (No. 221)
Unique sites:
1 Al 0.000 0.000 0.000 [1 per cell]
2 Co 0.500 0.500 0.500 [1 per cell]
3 Rh 0.000 0.000 0.500 [3 per cell]

Properties
* theoretical density: 7.66 g/cm³

---

--- Q ---
Crystalline AlCoRh3 at its relaxed geometry, computed with PBE.

Cell lengths 4.435, 4.435, 4.435 Å; angles 90.00, 90.00, 90.00 degrees
Space group Pm-3m (No. 221)
Unique sites:
1 Al 0.000 0.000 0.000 [1 per cell]
2 Co 0.500 0.500 0.500 [1 per cell]
3 Rh 0.000 0.500 0.500 [3 per cell]

Properties
* theoretical density: 7.51 g/cm³

---

Ranked by calculated energy, most stable first: Q, P.

---

--- P ---
Crystalline AlCo3Rh at its relaxed geometry, computed with PBE.

Cell lengths 4.507, 4.507, 4.507 Å; angles 90.00, 90.00, 90.00 degrees
Space group Pm-3m (No. 221)
Unique sites:
1 Al 0.000 0.000 0.000 [1 per cell]
2 Co 0.000 0.500 0.500 [3 per cell]
3 Rh 0.500 0.500 0.500 [1 per cell]

Properties
* theoretical density: 5.56 g/cm³

---

--- Q ---
Crystalline AlCo3Rh at its relaxed geometry, computed with PBE.

Cell lengths 4.182, 4.182, 4.182 Å; angles 90.00, 90.00, 90.00 degrees
Space group Pm-3m (No. 221)
Unique sites:
1 Al 0.000 0.000 0.000 [1 per cell]
2 Co 0.000 0.000 0.500 [3 per cell]
3 Rh 0.500 0.500 0.500 [1 per cell]

Properties
* theoretical density: 6.96 g/cm³

---

Ranked by calculated energy, most stable first: Q, P.

---

--- P ---
Crystalline Al2CoRu at its relaxed geometry, computed with PBE.

Cell lengths 4.120, 4.120, 2.989 Å; angles 90.00, 90.00, 90.00 degrees
Space group P4/mmm (No. 123)
Unique sites:
1 Al 0.000 0.500 0.000 [2 per cell]
2 Co 0.000 0.000 0.500 [1 per cell]
3 Ru 0.500 0.500 0.500 [1 per cell]

Properties
* theoretical density: 7.00 g/cm³

---

--- Q ---
Crystalline Al2CoRu at its relaxed geometry, computed with PBE.

Cell lengths 5.972, 5.972, 5.972 Å; angles 90.00, 90.00, 90.00 degrees
Space group F-43m (No. 216)
Unique sites:
1 Al 0.000 0.000 0.000 [4 per cell]
2 Al 0.250 0.250 0.250 [4 per cell]
3 Co 0.000 0.000 0.500 [4 per cell]
4 Ru 0.250 0.250 0.750 [4 per cell]

Properties
* theoretical density: 6.67 g/cm³

---

Ranked by calculated energy, most stable first: P, Q.

---

--- P ---
Crystalline Al2CoRu at its relaxed geometry, computed with PBE.

Cell lengths 2.7982, 2.7982, 23.6638 Å; angles 90.00, 90.00, 120.00 degrees
Space group R-3m (No. 166, hexagonal axes)
Unique sites:
1 Al 0.0000 0.0000 0.2467 [6 per cell]
2 Co 0.0000 0.0000 0.5000 [3 per cell]
3 Ru 0.0000 0.0000 0.0000 [3 per cell]

Properties
* theoretical density: 6.64 g/cm³

---

--- Q ---
Crystalline Al2CoRu at its relaxed geometry, computed with PBE.

Cell lengths 3.108, 3.108, 5.523 Å; angles 90.00, 90.00, 90.00 degrees
Space group P4mm (No. 99)
Unique sites:
1 Al 0.000 0.000 0.000 [1 per cell]
2 Al 0.500 0.500 0.293 [1 per cell]
3 Co 0.000 0.000 0.492 [1 per cell]
4 Ru 0.500 0.500 0.785 [1 per cell]

Properties
* theoretical density: 6.66 g/cm³

---

--- R ---
Crystalline Al2CoRu at its relaxed geometry, computed with PBE.

Cell lengths 2.783, 2.783, 7.161 Å; angles 90.00, 90.00, 90.00 degrees
Space group P4mm (No. 99)
Unique sites:
1 Al 0.000 0.000 0.000 [1 per cell]
2 Al 0.500 0.500 0.317 [1 per cell]
3 Co 0.000 0.000 0.533 [1 per cell]
4 Ru 0.500 0.500 0.759 [1 per cell]

Properties
* theoretical density: 6.40 g/cm³

---

--- S ---
Crystalline Al2CoRu at its relaxed geometry, computed with PBE.

Cell lengths 3.014, 4.017, 8.673 Å; angles 90.00, 90.00, 90.00 degrees
Space group Imm2 (No. 44)
Unique sites:
1 Al 0.000 0.000 0.000 [2 per cell]
2 Al 0.000 0.500 0.227 [2 per cell]
3 Co 0.000 0.500 0.733 [2 per cell]
4 Ru 0.000 0.000 0.477 [2 per cell]

Properties
* theoretical density: 6.77 g/cm³

---

Ranked by calculated energy, most stable first: S, Q, P, R.

---

--- P ---
Crystalline Al2CoRu at its relaxed geometry, computed with PBE.

Cell lengths 6.497, 6.497, 5.410 Å; angles 90.00, 90.00, 90.00 degrees
Space group I-42d (No. 122)
Unique sites:
1 Al 0.231 0.250 0.125 [8 per cell]
2 Co 0.000 0.000 0.000 [4 per cell]
3 Ru 0.000 0.000 0.500 [4 per cell]

Properties
* theoretical density: 6.22 g/cm³

---

--- Q ---
Crystalline Al2CoRu at its relaxed geometry, computed with PBE.

Cell lengths 5.871, 5.871, 5.871 Å; angles 90.00, 90.00, 90.00 degrees
Space group Fm-3m (No. 225)
Unique sites:
1 Al 0.250 0.250 0.250 [8 per cell]
2 Co 0.000 0.000 0.000 [4 per cell]
3 Ru 0.000 0.000 0.500 [4 per cell]

Properties
* theoretical density: 7.02 g/cm³

---

Ranked by calculated energy, most stable first: Q, P.

---

--- P ---
Crystalline Al2CoRu at its relaxed geometry, computed with PBE.

Cell lengths 2.7792, 2.7792, 24.7465 Å; angles 90.00, 90.00, 120.00 degrees
Space group R3m (No. 160, hexagonal axes)
Unique sites:
1 Al 0.0000 0.0000 0.0000 [3 per cell]
2 Al 0.0000 0.0000 0.2403 [3 per cell]
3 Co 0.0000 0.0000 0.7440 [3 per cell]
4 Ru 0.0000 0.0000 0.4908 [3 per cell]

Properties
* theoretical density: 6.44 g/cm³

---

--- Q ---
Crystalline Al2CoRu at its relaxed geometry, computed with PBE.

Cell lengths 3.016, 4.541, 7.772 Å; angles 90.00, 90.00, 90.00 degrees
Space group Cmmm (No. 65)
Unique sites:
1 Al 0.000 0.000 0.240 [4 per cell]
2 Co 0.000 0.500 0.000 [2 per cell]
3 Ru 0.000 0.500 0.500 [2 per cell]

Properties
* theoretical density: 6.68 g/cm³

---

Ranked by calculated energy, most stable first: Q, P.

---

--- P ---
Crystalline AlCo3Ru at its relaxed geometry, computed with PBE.

Cell lengths 4.178, 4.178, 4.178 Å; angles 90.00, 90.00, 90.00 degrees
Space group Pm-3m (No. 221)
Unique sites:
1 Al 0.000 0.000 0.000 [1 per cell]
2 Co 0.000 0.000 0.500 [3 per cell]
3 Ru 0.500 0.500 0.500 [1 per cell]

Properties
* theoretical density: 6.94 g/cm³

---

--- Q ---
Crystalline AlCo3Ru at its relaxed geometry, computed with PBE.

Cell lengths 4.436, 4.436, 4.436 Å; angles 90.00, 90.00, 90.00 degrees
Space group Pm-3m (No. 221)
Unique sites:
1 Al 0.000 0.000 0.000 [1 per cell]
2 Co 0.000 0.500 0.500 [3 per cell]
3 Ru 0.500 0.500 0.500 [1 per cell]

Properties
* theoretical density: 5.80 g/cm³

---

Ranked by calculated energy, most stable first: P, Q.

---

--- P ---
Crystalline AlCoRu3 at its relaxed geometry, computed with PBE.

Cell lengths 4.408, 4.408, 4.408 Å; angles 90.00, 90.00, 90.00 degrees
Space group Pm-3m (No. 221)
Unique sites:
1 Al 0.000 0.000 0.000 [1 per cell]
2 Co 0.500 0.500 0.500 [1 per cell]
3 Ru 0.000 0.500 0.500 [3 per cell]

Properties
* theoretical density: 7.54 g/cm³

---

--- Q ---
Crystalline AlCoRu3 at its relaxed geometry, computed with PBE.

Cell lengths 4.342, 4.342, 4.342 Å; angles 90.00, 90.00, 90.00 degrees
Space group Pm-3m (No. 221)
Unique sites:
1 Al 0.000 0.000 0.000 [1 per cell]
2 Co 0.500 0.500 0.500 [1 per cell]
3 Ru 0.000 0.000 0.500 [3 per cell]

Properties
* theoretical density: 7.89 g/cm³

---

Ranked by calculated energy, most stable first: P, Q.